Record 1
VASP calculation (GGA-PBE) on crystalline BiWS2 at its relaxed geometry.

abc: 9.395 9.395 9.395
angles: 20.32 20.32 20.32
Element x y z (fractional)
S: 0.889 0.889 0.889
S: 0.111 0.111 0.111
Bi: 0.000 0.000 0.000
W: 0.500 0.500 0.500

=====

Record 2
VASP calculation (GGA-PBE) on crystalline YBiS3 at its relaxed geometry.

abc: 5.175 5.175 5.175
angles: 90.00 90.00 90.00
Element x y z (fractional)
Y: 0.000 0.000 0.000
S: 0.000 0.500 0.000
S: 0.000 0.000 0.500
S: 0.500 0.000 0.000
Bi: 0.500 0.500 0.500

Values from the calculation:
Distance to the lowest polymorph of the same formula ... 0.7170 eV/atom

=====

| no. | ΔE_f (raw) (meV per atom) |
| --- | --- |
| 1 | -282 |
| 2 | -472 |